Record 1
Below is a relaxed structure of Tb2SmDyTh, with properties calculated at the PBE level.

The structure belongs to space group Cmcm (No. 63); the cell edges are 6.456, 16.605 and 6.425 Å and the angles 90.00°, 90.00° and 90.00°. The distinct sites, in fractional coordinates, are Tb at (0.246, 0.000, 0.000), Sm at (0.000, 0.343, 0.250), Dy at (0.000, 0.232, 0.750) and Th at (0.000, 0.156, 0.250).

The total moment comes out at 0.0 Bohr magnetons per cell. The calculation puts the formation energy at 0.39 eV per atom.


Record 2
Below is a relaxed structure of TbSmDy3Th, with properties calculated at the PBE level.

The structure belongs to space group P2_1/m (No. 11); the cell edges are 10.681, 3.575 and 10.687 Å and the angles 90.00°, 109.24° and 90.00°. The distinct sites, in fractional coordinates, are Tb at (0.127, 0.250, 0.129), Sm at (0.208, 0.750, 0.874), Dy at (0.043, 0.750, 0.375), Dy at (0.294, 0.250, 0.620), Dy at (0.458, 0.250, 0.129) and Th at (0.377, 0.750, 0.376).

The total moment comes out at 0.0 Bohr magnetons per cell. The calculation puts the formation energy at 0.02 eV per atom.


Record 3
Below is a relaxed structure of Tb6Sm3DyTh2, with properties calculated at the PBE level.

The structure belongs to space group C2/m (No. 12); the cell edges are 6.206, 10.744 and 11.838 Å and the angles 90.00°, 100.11° and 90.00°. The distinct sites, in fractional coordinates, are Tb at (0.245, 0.000, 0.246), Tb at (0.249, 0.169, 0.754), Sm at (0.000, 0.000, 0.500), Sm at (0.000, 0.333, 0.500), Dy at (0.000, 0.500, 0.000) and Th at (0.000, 0.167, 0.000).

The total moment comes out at 0.0 Bohr magnetons per cell. The calculation puts the formation energy at 0.02 eV per atom.


Record 4
Below is a relaxed structure of TbSmDyTh2, with properties calculated at the PBE level.

The structure belongs to space group Cmcm (No. 63); the cell edges are 6.672, 15.674 and 6.675 Å and the angles 90.00°, 90.00° and 90.00°. The distinct sites, in fractional coordinates, are Tb at (0.000, 0.243, 0.250), Sm at (0.000, 0.348, 0.750), Dy at (0.000, 0.152, 0.750) and Th at (0.248, 0.000, 0.000).

The total moment comes out at 0.0 Bohr magnetons per cell. The calculation puts the formation energy at 0.41 eV per atom.


Record 5
Below is a relaxed structure of Tb6Sm2Dy3Th, with properties calculated at the PBE level.

The structure belongs to space group C2/m (No. 12); the cell edges are 6.192, 10.709 and 11.826 Å and the angles 90.00°, 100.00° and 90.00°. The distinct sites, in fractional coordinates, are Tb at (0.245, 0.000, 0.249), Tb at (0.249, 0.165, 0.751), Sm at (0.000, 0.333, 0.500), Dy at (0.000, 0.167, 0.000), Dy at (0.000, 0.500, 0.000) and Th at (0.000, 0.000, 0.500).

The total moment comes out at 0.0 Bohr magnetons per cell. The calculation puts the formation energy at 0.03 eV per atom.


Record 6
Below is a relaxed structure of Tb6SmDyTh2, with properties calculated at the PBE level.

The structure belongs to space group C2/c (No. 15); the cell edges are 8.953, 14.844 and 10.076 Å and the angles 90.00°, 101.81° and 90.00°. The distinct sites, in fractional coordinates, are Tb at (0.076, 0.187, 0.449), Tb at (0.091, 0.399, 0.617), Tb at (0.205, 0.226, 0.822), Sm at (0.000, 0.010, 0.750), Dy at (0.000, 0.404, 0.250) and Th at (0.228, 0.047, 0.042).

The total moment comes out at 0.0 Bohr magnetons per cell. The calculation puts the formation energy at 0.15 eV per atom.


Record 7
Below is a relaxed structure of TbSm6Dy2Th, with properties calculated at the PBE level.

The structure belongs to space group C2/c (No. 15); the cell edges are 9.310, 14.990 and 9.655 Å and the angles 90.00°, 97.33° and 90.00°. The distinct sites, in fractional coordinates, are Tb at (0.000, 0.092, 0.250), Sm at (0.064, 0.324, 0.442), Sm at (0.095, 0.110, 0.618), Sm at (0.206, 0.281, 0.814), Dy at (0.247, 0.454, 0.051) and Th at (0.000, 0.470, 0.750).

The total moment comes out at 0.0 Bohr magnetons per cell. The calculation puts the formation energy at 0.15 eV per atom.


Record 8
Below is a relaxed structure of TbSm2Dy2Th2, with properties calculated at the PBE level.

The structure belongs to space group C2/m (No. 12); the cell edges are 17.760, 3.467 and 8.532 Å and the angles 90.00°, 117.96° and 90.00°. The distinct sites, in fractional coordinates, are Tb at (0.000, 0.000, 0.000), Sm at (0.145, 0.500, 0.873), Dy at (0.210, 0.000, 0.299) and Th at (0.066, 0.500, 0.407).

The total moment comes out at 0.0 Bohr magnetons per cell. The calculation puts the formation energy at 0.17 eV per atom.